Entry from the Alexandria database: a relaxed K2LiAs crystal (PBE).

Computed properties:
Space-group type   Cmcm
Total energy   -21.19 eV/cell
Calculated density   2136 kg/m3
Calculated formation energy   -44.34 kJ/mol of atoms

Cell: 6.5082 6.5082 6.0176 Å, 90.00 90.00 77.57°
Fractional positions:
K 0.0338 0.3031 0.2500
K 0.3031 0.0338 0.7500
K 0.6969 0.9662 0.2500
K 0.9662 0.6969 0.7500
Li 0.5000 0.5000 0.0000
Li 0.5000 0.5000 0.5000
As 0.2553 0.7447 0.2500
As 0.7447 0.2553 0.7500